# Ba2Ag

A PBEsol-optimized structure of Ba2Ag (meta-GGA SCAN, Alexandria via LeMat-Bulk).

Geometry as CIF:
```
data_Ba2Ag
_space_group_name_H-M_alt 'P -3 m 1'
_space_group_IT_number 164
_space_group_name_Hall '-P 3 2"'
_cell_length_a 4.7423
_cell_length_b 4.7423
_cell_length_c 7.5227
_cell_angle_alpha 90.00
_cell_angle_beta 90.00
_cell_angle_gamma 120.00
loop_
_atom_site_label
_atom_site_type_symbol
_atom_site_fract_x
_atom_site_fract_y
_atom_site_fract_z
Ba1 Ba 0.3333 0.6667 0.2401
Ag1 Ag 0.0000 0.0000 0.0000
```

Values from the calculation:
Raw total energy   -110.9 eV/cell
Relative energy among the computed polymorphs   46.6 meV/atom
ΔE_f   -0.133 eV/atom

=====

# SrBBr2

A PBEsol-optimized structure of SrBBr2 (meta-GGA SCAN, Alexandria via LeMat-Bulk).

Geometry as CIF:
```
data_SrBBr2
_space_group_name_H-M_alt 'I -4 2 d'
_space_group_IT_number 122
_space_group_name_Hall 'I -4 2bw'
_cell_length_a 5.1003
_cell_length_b 5.1003
_cell_length_c 17.8700
_cell_angle_alpha 90.00
_cell_angle_beta 90.00
_cell_angle_gamma 90.00
loop_
_atom_site_label
_atom_site_type_symbol
_atom_site_fract_x
_atom_site_fract_y
_atom_site_fract_z
Sr1 Sr 0.0000 0.0000 0.0000
B1 B 0.0000 0.0000 0.5000
Br1 Br 0.2176 0.2500 0.6250
```

Values from the calculation:
Raw total energy   -276.7 eV/cell
Formation energy without anion corrections   -0.139 eV per atom
Relative energy among the computed polymorphs   122.7 meV/atom

=====

# Y4AgPb

A PBEsol-optimized structure of Y4AgPb (meta-GGA SCAN, Alexandria via LeMat-Bulk).

Geometry as CIF:
```
data_Y4AgPb
_space_group_name_H-M_alt 'F -4 3 m'
_space_group_IT_number 216
_space_group_name_Hall 'F -4 2 3'
_cell_length_a 8.7266
_cell_length_b 8.7266
_cell_length_c 8.7266
_cell_angle_alpha 90.00
_cell_angle_beta 90.00
_cell_angle_gamma 90.00
loop_
_atom_site_label
_atom_site_type_symbol
_atom_site_fract_x
_atom_site_fract_y
_atom_site_fract_z
Y1 Y 0.1245 0.1245 0.3755
Ag1 Ag 0.0000 0.0000 0.0000
Pb1 Pb 0.2500 0.2500 0.7500
```

Values from the calculation:
Raw total energy   -867.0 eV/cell
ΔE_f   0.295 eV/atom

=====

# Ti2BePd

A PBEsol-optimized structure of Ti2BePd (meta-GGA SCAN, Alexandria via LeMat-Bulk).

Geometry as CIF:
```
data_Ti2BePd
_space_group_name_H-M_alt 'I -4 2 d'
_space_group_IT_number 122
_space_group_name_Hall 'I -4 2bw'
_cell_length_a 3.5208
_cell_length_b 3.5208
_cell_length_c 18.6448
_cell_angle_alpha 90.00
_cell_angle_beta 90.00
_cell_angle_gamma 90.00
loop_
_atom_site_label
_atom_site_type_symbol
_atom_site_fract_x
_atom_site_fract_y
_atom_site_fract_z
Ti1 Ti 0.2451 0.2500 0.1250
Be1 Be 0.0000 0.0000 0.0000
Pd1 Pd 0.0000 0.0000 0.5000
```

Values from the calculation:
Raw total energy   -274.1 eV/cell
ΔE_f   0.164 eV/atom

=====

# YPb

A PBEsol-optimized structure of YPb (meta-GGA SCAN, Alexandria via LeMat-Bulk).

Geometry as CIF:
```
data_YPb
_space_group_name_H-M_alt 'P 63/m m c'
_space_group_IT_number 194
_space_group_name_Hall '-P 6c 2c'
_cell_length_a 4.6440
_cell_length_b 4.6440
_cell_length_c 6.5167
_cell_angle_alpha 90.00
_cell_angle_beta 90.00
_cell_angle_gamma 120.00
loop_
_atom_site_label
_atom_site_type_symbol
_atom_site_fract_x
_atom_site_fract_y
_atom_site_fract_z
Y1 Y 0.3333 0.6667 0.2500
Pb1 Pb 0.0000 0.0000 0.0000
```

Values from the calculation:
Raw total energy   -210.3 eV/cell
ΔE_f   -0.752 eV/atom

=====

# Li3V2Si2O10

A PBEsol-optimized structure of Li3V2Si2O10 (meta-GGA SCAN, Alexandria via LeMat-Bulk).

Geometry as CIF:
```
data_Li3V2Si2O10
_space_group_name_H-M_alt 'P m c 21'
_space_group_IT_number 26
_cell_length_a 8.8557
_cell_length_b 4.4694
_cell_length_c 9.2116
_cell_angle_alpha 90.00
_cell_angle_beta 90.00
_cell_angle_gamma 90.00
loop_
_space_group_symop_operation_xyz
'x,y,z'
'-x,-y,z+1/2'
'-x,y,z'
'x,-y,z+1/2'
loop_
_atom_site_label
_atom_site_type_symbol
_atom_site_fract_x
_atom_site_fract_y
_atom_site_fract_z
Li1 Li 0.0000 0.1270 0.0000
Li2 Li 0.2674 0.4928 0.0054
V1 V 0.0000 0.4546 0.7150
V2 V 0.5000 0.0682 0.5093
Si1 Si 0.2514 0.0014 0.2581
O1 O 0.0000 0.2890 0.5569
O2 O 0.1441 0.2485 0.8411
O3 O 0.1485 0.2487 0.1703
O4 O 0.3514 0.1855 0.3754
O5 O 0.3531 0.1856 0.6427
O6 O 0.5000 0.2938 0.0085
```

Values from the calculation:
Raw total energy   -340.3 eV/cell
Formation energy without anion corrections   -2.686 eV per atom
Relative energy among the computed polymorphs   19.6 meV/atom

=====

# Ti2Te2O5F5

A PBEsol-optimized structure of Ti2Te2O5F5 (meta-GGA SCAN, Alexandria via LeMat-Bulk).

Geometry as CIF:
```
data_Ti2Te2O5F5
_space_group_name_H-M_alt 'P n m a'
_space_group_IT_number 62
_cell_length_a 7.5398
_cell_length_b 16.4160
_cell_length_c 6.5462
_cell_angle_alpha 90.00
_cell_angle_beta 90.00
_cell_angle_gamma 90.00
loop_
_space_group_symop_operation_xyz
'x,y,z'
'-x,-y,-z'
'-x+1/2,-y,z+1/2'
'x+1/2,y,-z+1/2'
'x+1/2,-y+1/2,-z+1/2'
'-x+1/2,y+1/2,z+1/2'
'-x,y+1/2,-z'
'x,-y+1/2,z'
loop_
_atom_site_label
_atom_site_type_symbol
_atom_site_fract_x
_atom_site_fract_y
_atom_site_fract_z
Ti1 Ti 0.1162 0.1301 0.2471
Te1 Te 0.1361 0.6341 0.2296
O1 O 0.0558 0.1382 0.9598
O2 O 0.1446 0.7500 0.2806
O3 O 0.1753 0.1308 0.5352
F1 F 0.1145 0.0162 0.2290
F2 F 0.1182 0.2500 0.2552
F3 F 0.1332 0.6322 0.6746
```

Values from the calculation:
Raw total energy   -760.9 eV/cell
Formation energy without anion corrections   -2.487 eV per atom

=====

# ReBiIN2

A PBEsol-optimized structure of ReBiIN2 (meta-GGA SCAN, Alexandria via LeMat-Bulk).

Geometry as CIF:
```
data_ReBiIN2
_space_group_name_H-M_alt 'P 4/m m m'
_space_group_IT_number 123
_space_group_name_Hall '-P 4 2'
_cell_length_a 4.0685
_cell_length_b 4.0685
_cell_length_c 5.4785
_cell_angle_alpha 90.00
_cell_angle_beta 90.00
_cell_angle_gamma 90.00
loop_
_atom_site_label
_atom_site_type_symbol
_atom_site_fract_x
_atom_site_fract_y
_atom_site_fract_z
Re1 Re 0.0000 0.0000 0.0000
Bi1 Bi 0.5000 0.5000 0.5000
I1 I 0.0000 0.0000 0.5000
N1 N 0.0000 0.5000 0.0000
```

Values from the calculation:
Raw total energy   -199.2 eV/cell
Formation energy without anion corrections   1.151 eV per atom

=====

- Which value of raw total energy does entry 3 give?
  -867.0 eV/cell